[1]
VASP calculation (GGA-PBE) on crystalline YZn5Au7 at its relaxed geometry.

Results
SG	Imm2 (44)

The structure in POSCAR format:
```
YZn5Au7
1.0
-4.2699 -2.3134 -2.1736
1.0787 -1.7429 -6.7760
0.0249 -7.0203 0.9111
Y Zn Au
1 5 7
direct
0.9904 0.0096 0.0096 Y
0.5031 0.9964 0.4950 Zn
0.0054 0.9964 0.4950 Zn
0.5031 0.4950 0.9964 Zn
0.0054 0.4950 0.9964 Zn
0.7361 0.7639 0.7639 Zn
0.6496 0.3504 0.3504 Au
0.3219 0.6781 0.6781 Au
0.9960 0.3402 0.6678 Au
0.9960 0.6678 0.3402 Au
0.2704 0.2296 0.2296 Au
0.5112 0.7997 0.1779 Au
0.5112 0.1779 0.7997 Au
```


[2]
VASP calculation (GGA-PBE) on crystalline Y2Zn12Au7 at its relaxed geometry.

Results
SG	P-3 (147)

The structure in POSCAR format:
```
Y2Zn12Au7
1.0
4.0831 0.0000 0.0000
0.0000 9.0807 -5.2428
0.0000 0.0000 10.4856
Y Zn Au
2 12 7
direct
0.2481 0.3333 0.6667 Y
0.7519 0.6667 0.3333 Y
0.2492 0.6087 0.0397 Zn
0.2492 0.4310 0.3913 Zn
0.2492 0.9603 0.5690 Zn
0.7508 0.3913 0.9603 Zn
0.7508 0.5690 0.6087 Zn
0.7508 0.0397 0.4310 Zn
0.2411 0.1103 0.2643 Zn
0.2411 0.1540 0.8897 Zn
0.2411 0.7357 0.8460 Zn
0.7589 0.8897 0.7357 Zn
0.7589 0.8460 0.1103 Zn
0.7589 0.2643 0.1540 Zn
0.5000 0.0000 0.0000 Au
0.2519 0.8620 0.2838 Au
0.2519 0.4218 0.1380 Au
0.2519 0.7162 0.5782 Au
0.7481 0.1380 0.7162 Au
0.7481 0.5782 0.8620 Au
0.7481 0.2838 0.4218 Au
```


[3]
VASP calculation (GGA-PBE) on crystalline YZnAu at its relaxed geometry.

Results
SG	F-43m (216)

The structure in POSCAR format:
```
YZnAu
1.0
4.6794 0.0000 0.0000
2.3397 4.0525 0.0000
2.3397 1.3508 3.8207
Au Y Zn
1 1 1
direct
0.7500 0.7500 0.7500 Au
0.0000 0.0000 0.0000 Y
0.5000 0.5000 0.5000 Zn
```


[4]
VASP calculation (GGA-PBE) on crystalline Y3Zn2Au at its relaxed geometry.

Results
offset from the most stable computed form	0.6	kJ/mol of atoms
SG	P-3m1 (164)

The structure in POSCAR format:
```
Y3Zn2Au
1.0
-1.8724 1.7676 -4.3805
-1.5948 -4.4652 1.8270
-4.5395 2.8930 3.1078
Y Zn Au
3 2 1
direct
0.0000 0.0000 0.5000 Y
0.6667 0.3333 0.8364 Y
0.3333 0.6667 0.1636 Y
0.6667 0.3333 0.3484 Zn
0.3333 0.6667 0.6516 Zn
0.0000 0.0000 0.0000 Au
```


[5]
VASP calculation (GGA-PBE) on crystalline YZn6Au6 at its relaxed geometry.

Results
offset from the most stable computed form	1.1	kJ/mol of atoms
SG	Immm (71)

The structure in POSCAR format:
```
YZn6Au6
1.0
-1.1464 5.1376 0.0023
-6.9478 1.1464 0.0393
-0.7468 2.5271 6.5303
Y Zn Au
1 6 6
direct
0.0000 0.0000 0.0000 Y
0.0000 0.5000 0.0000 Zn
0.5000 0.5000 0.0000 Zn
0.0000 0.0000 0.5000 Zn
0.5000 0.0000 0.5000 Zn
0.5000 0.7574 0.2426 Zn
0.5000 0.2426 0.7574 Zn
0.3383 0.6617 0.6617 Au
0.6617 0.3383 0.3383 Au
0.0000 0.3353 0.6647 Au
0.0000 0.6647 0.3353 Au
0.3263 0.1737 0.1737 Au
0.6737 0.8263 0.8263 Au
```


[6]
VASP calculation (GGA-PBE) on crystalline Y2ZnAu2 at its relaxed geometry.

Results
SG	P4/mbm (127)

The structure in POSCAR format:
```
Y2ZnAu2
1.0
7.7463 0.0000 0.0000
0.0000 7.7463 0.0000
0.0000 0.0000 3.8469
Y Zn Au
4 2 4
direct
0.1705 0.6705 0.5000 Y
0.6705 0.8295 0.5000 Y
0.8295 0.3295 0.5000 Y
0.3295 0.1705 0.5000 Y
0.0000 0.0000 0.0000 Zn
0.5000 0.5000 0.0000 Zn
0.3680 0.8680 0.0000 Au
0.8680 0.6320 0.0000 Au
0.6320 0.1320 0.0000 Au
0.1320 0.3680 0.0000 Au
```


[7]
VASP calculation (GGA-PBE) on crystalline YZn7Au12 at its relaxed geometry.

Results
SG	Im-3 (204)

The structure in POSCAR format:
```
YZn7Au12
1.0
-2.9023 7.7128 0.7388
-6.3107 -5.2211 -1.1704
4.0654 -2.0894 6.8966
Y Zn Au
1 7 12
direct
0.0000 0.0000 0.0000 Y
0.5000 0.0000 0.5000 Zn
0.5000 0.5000 0.0000 Zn
0.0000 0.5000 0.5000 Zn
0.0000 0.0000 0.5000 Zn
0.5000 0.0000 0.0000 Zn
0.5000 0.5000 0.5000 Zn
0.0000 0.5000 0.0000 Zn
0.2779 0.1542 0.4320 Au
0.2779 0.8458 0.1237 Au
0.7221 0.8458 0.5680 Au
0.7221 0.1542 0.8763 Au
0.4320 0.2779 0.1542 Au
0.8763 0.7221 0.1542 Au
0.5680 0.7221 0.8458 Au
0.1237 0.2779 0.8458 Au
0.8458 0.1237 0.2779 Au
0.1542 0.8763 0.7221 Au
0.1542 0.4320 0.2779 Au
0.8458 0.5680 0.7221 Au
```


[8]
VASP calculation (GGA-PBE) on crystalline YZn2Au8 at its relaxed geometry.

Results
offset from the most stable computed form	4.7	kJ/mol of atoms
SG	C2/m (12)

The structure in POSCAR format:
```
YZn2Au8
1.0
0.3837 4.5532 0.8694
-0.6938 -0.3209 -7.4354
-6.0912 -2.0178 3.8333
Y Zn Au
1 2 8
direct
0.5000 0.0000 0.0000 Y
0.0000 0.3199 0.6801 Zn
0.0000 0.6801 0.3199 Zn
0.8766 0.9286 0.6747 Au
0.8766 0.6747 0.9286 Au
0.3284 0.6056 0.6056 Au
0.5000 0.7694 0.2306 Au
0.5000 0.2306 0.7694 Au
0.6716 0.3944 0.3944 Au
0.1234 0.3253 0.0714 Au
0.1234 0.0714 0.3253 Au
```


[9]
VASP calculation (GGA-PBE) on crystalline YZnAu2 at its relaxed geometry.

Results
SG	Imm2 (44)

The structure in POSCAR format:
```
YZnAu2
1.0
-0.6416 2.3618 -4.5073
-2.1017 -3.5388 -3.0602
-1.4338 1.6702 4.6325
Au Y Zn
2 1 1
direct
0.9911 0.9911 0.0000 Au
0.2469 0.7469 0.5000 Au
0.5034 0.5034 0.0000 Y
0.7586 0.2586 0.5000 Zn
```


[10]
VASP calculation (GGA-PBE) on crystalline YZn4Au2 at its relaxed geometry.

Results
offset from the most stable computed form	0.0	kJ/mol of atoms
SG	P4_2/mnm (136)

The structure in POSCAR format:
```
YZn4Au2
1.0
-1.6778 -3.1436 -2.5567
6.9619 -1.5312 -2.6859
1.0326 -5.0861 5.5760
Y Zn Au
2 8 4
direct
0.5000 0.0000 0.0000 Y
0.0000 0.5000 0.5000 Y
0.0000 0.1013 0.3562 Zn
0.0000 0.8987 0.6438 Zn
0.5000 0.1438 0.6013 Zn
0.5000 0.8562 0.3987 Zn
0.5000 0.3987 0.8562 Zn
0.5000 0.6013 0.1438 Zn
0.0000 0.3562 0.1013 Zn
0.0000 0.6438 0.8987 Zn
0.0000 0.2054 0.7946 Au
0.0000 0.7946 0.2054 Au
0.5000 0.7054 0.7054 Au
0.5000 0.2946 0.2946 Au
```


[11]
VASP calculation (GGA-PBE) on crystalline YZn4Au at its relaxed geometry.

Results
offset from the most stable computed form	0.0	kJ/mol of atoms
SG	Cmcm (63)

The structure in POSCAR format:
```
YZn4Au
1.0
-2.5812 2.7499 -1.5515
-1.1289 -4.0284 -5.2617
-4.7992 -4.8520 4.7445
Y Zn Au
2 8 2
direct
0.1174 0.2500 0.2347 Y
0.8826 0.7500 0.7653 Y
0.5000 0.5000 0.0000 Zn
0.5000 0.0000 0.0000 Zn
0.6634 0.9421 0.3269 Zn
0.3366 0.0579 0.6731 Zn
0.3366 0.4421 0.6731 Zn
0.6634 0.5579 0.3269 Zn
0.0699 0.7500 0.1398 Zn
0.9301 0.2500 0.8602 Zn
0.2371 0.7500 0.4742 Au
0.7629 0.2500 0.5258 Au
```


[12]
VASP calculation (GGA-PBE) on crystalline YZnAu2 at its relaxed geometry.

Results
SG	P4/mmm (123)

The structure in POSCAR format:
```
YZnAu2
1.0
3.4982 0.0000 0.0000
0.0000 3.4971 0.0000
0.0000 0.0000 6.5588
Au Y Zn
2 1 1
direct
0.0000 0.0000 0.9773 Au
0.0000 0.0000 0.5227 Au
0.5000 0.5000 0.2500 Y
0.5000 0.5000 0.7500 Zn
```


[13]
VASP calculation (GGA-PBE) on crystalline Y2ZnAu3 at its relaxed geometry.

Results
SG	Fmmm (69)

The structure in POSCAR format:
```
Y2ZnAu3
1.0
-1.3173 4.6940 -3.1441
-5.0032 -2.4401 1.6335
3.1592 3.3367 7.4199
Y Zn Au
4 2 6
direct
0.2500 0.7500 0.5000 Y
0.7531 0.7531 0.0000 Y
0.7500 0.2500 0.5000 Y
0.2469 0.2469 0.0000 Y
0.6670 0.6670 0.3341 Zn
0.3330 0.3330 0.6659 Zn
0.3470 0.8263 0.1733 Au
0.1737 0.6530 0.8267 Au
0.6530 0.1737 0.8267 Au
0.8263 0.3470 0.1733 Au
0.1714 0.1714 0.3429 Au
0.8286 0.8286 0.6571 Au
```


[14]
VASP calculation (GGA-PBE) on crystalline YZnAu at its relaxed geometry.

Results
SG	I4mm (107)

The structure in POSCAR format:
```
YZnAu
1.0
-4.8006 1.6891 1.4994
-5.0908 -1.4136 -0.4816
-1.1191 -1.8186 3.0126
Au Y Zn
1 1 1
direct
0.9925 0.9925 0.0075 Au
0.6653 0.6653 0.3347 Y
0.3423 0.3423 0.6577 Zn
```


[15]
VASP calculation (GGA-PBE) on crystalline Y7Zn2Au2 at its relaxed geometry.

Results
SG	Cmmm (65)

The structure in POSCAR format:
```
Y7Zn2Au2
1.0
-4.8937 2.1465 -4.0417
-4.3851 1.0415 5.8641
3.7988 5.1731 1.9230
Y Zn Au
7 2 2
direct
0.0001 0.2779 0.4999 Y
0.4999 0.7221 0.0001 Y
0.9999 0.7221 0.5001 Y
0.5001 0.2779 0.9999 Y
0.0000 0.0000 0.0000 Y
0.5000 0.7348 0.5000 Y
0.5000 0.2652 0.5000 Y
0.8337 0.5000 0.8337 Zn
0.1663 0.5000 0.1663 Zn
0.7054 0.0000 0.2946 Au
0.2946 0.0000 0.7054 Au
```


[16]
VASP calculation (GGA-PBE) on crystalline YZnAu4 at its relaxed geometry.

Results
SG	P4/mmm (123)

The structure in POSCAR format:
```
YZnAu4
1.0
4.3476 0.0000 0.0000
0.0000 4.3476 0.0000
0.0000 0.0000 7.1146
Y Zn Au
1 1 4
direct
0.0000 0.0000 0.0000 Y
0.5000 0.5000 0.5000 Zn
0.5000 0.0000 0.7153 Au
0.0000 0.5000 0.7153 Au
0.5000 0.0000 0.2847 Au
0.0000 0.5000 0.2847 Au
```


[17]
VASP calculation (GGA-PBE) on crystalline YZn5Au6 at its relaxed geometry.

Results
SG	Cmmm (65)

The structure in POSCAR format:
```
YZn5Au6
1.0
4.6290 0.0000 0.0136
2.3145 6.9244 0.0068
-0.0194 0.0000 6.5832
Y Zn Au
1 5 6
direct
0.0000 0.0000 0.0000 Y
0.6613 0.6774 0.5000 Zn
0.3386 0.3228 0.0000 Zn
0.0000 0.0000 0.5000 Zn
0.6614 0.6772 0.0000 Zn
0.3387 0.3226 0.5000 Zn
0.8222 0.3557 0.2583 Au
0.8222 0.3557 0.7417 Au
0.5000 0.0000 0.7265 Au
0.5000 0.0000 0.2735 Au
0.1778 0.6443 0.2583 Au
0.1778 0.6443 0.7417 Au
```


[18]
VASP calculation (GGA-PBE) on crystalline YZn5Au2 at its relaxed geometry.

Results
SG	Immm (71)

The structure in POSCAR format:
```
YZn5Au2
1.0
-2.0717 0.2371 -2.9629
-5.7654 -3.0413 1.5728
-4.6408 4.6330 1.4006
Y Zn Au
1 5 2
direct
0.0000 0.0000 0.0000 Y
0.0000 0.5000 0.5000 Zn
0.6298 0.5680 0.1724 Zn
0.3702 0.4320 0.8276 Zn
0.3702 0.8276 0.4320 Zn
0.6298 0.1724 0.5680 Zn
0.7403 0.7597 0.7597 Au
0.2597 0.2403 0.2403 Au
```


[19]
VASP calculation (GGA-PBE) on crystalline YZn2Au3 at its relaxed geometry.

Results
SG	P6_3/mmc (194)

The structure in POSCAR format:
```
YZn2Au3
1.0
4.5470 0.0000 0.0000
-2.2735 3.9378 0.0000
0.0000 0.0000 12.7557
Y Zn Au
2 4 6
direct
0.0000 0.0000 0.2500 Y
0.0000 0.0000 0.7500 Y
0.6667 0.3333 0.4164 Zn
0.3333 0.6667 0.5836 Zn
0.3333 0.6667 0.9164 Zn
0.6667 0.3333 0.0836 Zn
0.0000 0.0000 0.5000 Au
0.0000 0.0000 0.0000 Au
0.6667 0.3333 0.6310 Au
0.3333 0.6667 0.1310 Au
0.6667 0.3333 0.8690 Au
0.3333 0.6667 0.3690 Au
```


[20]
VASP calculation (GGA-PBE) on crystalline Y2ZnAu at its relaxed geometry.

Results
SG	F-43m (216)

The structure in POSCAR format:
```
Y2ZnAu
1.0
-3.6278 -1.9973 2.7855
-1.8544 -4.4859 -1.1605
0.9709 -3.9322 2.9163
Au Y Zn
1 2 1
direct
0.5000 0.5000 0.5000 Au
0.0000 0.0000 0.0000 Y
0.7500 0.7500 0.7500 Y
0.2500 0.2500 0.2500 Zn
```


[21]
VASP calculation (GGA-PBE) on crystalline YZnAu2 at its relaxed geometry.

Results
SG	F-43m (216)

The structure in POSCAR format:
```
YZnAu2
1.0
-0.9691 -4.4678 -1.5164
2.9236 -3.6363 1.1957
-1.4735 -3.3423 3.1397
Au Y Zn
2 1 1
direct
0.0000 0.0000 0.0000 Au
0.7500 0.7500 0.7500 Au
0.5000 0.5000 0.5000 Y
0.2500 0.2500 0.2500 Zn
```


[22]
VASP calculation (GGA-PBE) on crystalline YZn9Au2 at its relaxed geometry.

Results
offset from the most stable computed form	0.0	kJ/mol of atoms
SG	I4_1/amd (141)

The structure in POSCAR format:
```
YZn9Au2
1.0
6.2895 0.0000 2.8956
3.1448 7.5980 1.4478
-0.0327 0.0000 8.3495
Y Zn Au
2 18 4
direct
0.5000 0.0000 0.0000 Y
0.2500 0.5000 0.5000 Y
0.7500 0.5000 0.5000 Zn
0.0000 0.0000 0.0000 Zn
0.0036 0.9130 0.6719 Zn
0.5885 0.0870 0.3281 Zn
0.6665 0.1719 0.5870 Zn
0.4255 0.8281 0.4130 Zn
0.7464 0.8281 0.5870 Zn
0.1615 0.1719 0.4130 Zn
0.0835 0.9130 0.3281 Zn
0.3245 0.0870 0.6719 Zn
0.7464 0.5870 0.8281 Zn
0.1615 0.4130 0.1719 Zn
0.0835 0.3281 0.9130 Zn
0.3245 0.6719 0.0870 Zn
0.0036 0.6719 0.9130 Zn
0.5885 0.3281 0.0870 Zn
0.6665 0.5870 0.1719 Zn
0.4255 0.4130 0.8281 Zn
0.8750 0.2500 0.7500 Au
0.8750 0.7500 0.2500 Au
0.8750 0.2500 0.2500 Au
0.3750 0.7500 0.7500 Au
```


Values for M_tot, μB/cell, ordered as above
0.0 0.0 0.0 0.0 0.0 0.0 0.0 0.0 0.0 0.0 0.0 0.0 0.0 0.0 0.0 0.0 0.0 0.0 0.0 0.9 0.0 0.0
Values for total energy, eV per atom, ordered as above
-3.10 -2.77 -4.16 -4.73 -2.96 -4.84 -2.77 -3.49 -4.13 -2.99 -2.80 -4.14 -4.74 -4.21 -5.16 -3.80 -3.03 -2.77 -3.66 -4.56 -4.11 -2.31